Model A:
This record from Alexandria describes a relaxed Ce2TlO crystal. The functional is PBE-GGA.

Cell: 5.9240 22.0573 5.8346 Å, 90.00 90.00 90.00°
Space group Fmm2 (No. 42)
Unique sites:
Ce  0.0000  0.1994  0.0000
Ce  0.2279  0.0000  0.2391
Tl  0.0000  0.1158  0.5011
O  0.2500  0.2500  0.2506

Values from the calculation:
- Crystal system: orthorhombic

Model B:
This record from Alexandria describes a relaxed Ce2TlO crystal. The functional is PBE-GGA.

Cell: 3.6529 3.6529 23.9384 Å, 90.00 90.00 120.00°
Space group R-3m (No. 166, hexagonal axes)
Unique sites:
Ce  0.0000  0.0000  0.2229
Tl  0.0000  0.0000  0.0000
O  0.0000  0.0000  0.5000

Values from the calculation:
- Crystal system: trigonal

Referenced to the most stable arrangement, the calculated values in kJ/mol of atoms are model A 3.7; model B 0.0.

Model A:
This record from Alexandria describes a relaxed Ce2TlO crystal. The functional is PBE-GGA.

Cell: 3.1764 3.1764 8.1844 Å, 90.00 90.00 90.00°
Space group P4/mmm (No. 123)
Unique sites:
Ce  0.0000  0.0000  0.1881
Tl  0.5000  0.5000  0.5000
O  0.5000  0.5000  0.0000

Values from the calculation:
- Crystal system: tetragonal

Model B:
This record from Alexandria describes a relaxed Ce2TlO crystal. The functional is PBE-GGA.

Cell: 3.6244 3.6244 24.3581 Å, 90.00 90.00 120.00°
Space group R3m (No. 160, hexagonal axes)
Unique sites:
Ce  0.0000  0.0000  0.0000
Ce  0.0000  0.0000  0.2217
Tl  0.0000  0.0000  0.7779
O  0.0000  0.0000  0.6112

Values from the calculation:
- Crystal system: trigonal

Referenced to the most stable arrangement, the calculated values in kJ/mol of atoms are model A 29.2; model B 0.0.

Model A:
This record from Alexandria describes a relaxed CeTlO crystal. The functional is PBE-GGA.

Cell: 3.8518 3.8518 5.6619 Å, 90.00 90.00 120.00°
Space group P-6m2 (No. 187)
Unique sites:
Ce  0.0000  0.0000  0.0000
Tl  0.3333  0.6667  0.5000
O  0.6667  0.3333  0.0000

Values from the calculation:
- Crystal system: hexagonal

Model B:
This record from Alexandria describes a relaxed CeTlO crystal. The functional is PBE-GGA.

Cell: 3.8809 3.8809 11.3781 Å, 90.00 90.00 120.00°
Space group P-3m1 (No. 164)
Unique sites:
Ce  0.3333  0.6667  0.3680
Tl  0.0000  0.0000  0.1291
O  0.3333  0.6667  0.5802

Values from the calculation:
- Crystal system: trigonal

Model C:
This record from Alexandria describes a relaxed CeTlO crystal. The functional is PBE-GGA.

Cell: 3.9353 3.9353 31.5926 Å, 90.00 90.00 120.00°
Space group R-3m (No. 166, hexagonal axes)
Unique sites:
Ce  0.0000  0.0000  0.1201
Tl  0.0000  0.0000  0.3685
O  0.0000  0.0000  0.1962

Values from the calculation:
- Crystal system: trigonal

Referenced to the most stable arrangement, the calculated values in kJ/mol of atoms are model A 14.6; model B 4.1; model C 0.0.